1.
This record from Alexandria via LeMat-Bulk describes a relaxed structure of Ce2Pr2Hg7. The functional is PBE.

Cell: 7.5817 7.5817 6.2802 Å, 90.00 90.00 96.25°
Closest atoms and distances in Å follow each position.
Sites, in units of the cell vectors:
Ce 0.2259 0.7741 0.0000  7 Hg 3.05-3.10
Ce 0.7741 0.2259 0.0000  7 Hg 3.05-3.10
Pr 0.3108 0.3108 0.5000  6 Hg 3.24-3.45
Pr 0.6892 0.6892 0.5000  6 Hg 3.24-3.45
Hg 0.0000 0.0000 0.2734  1 Hg 2.85, 2 Ce 3.07
Hg 0.0000 0.0000 0.7266  1 Hg 2.85, 2 Ce 3.07
Hg 0.0000 0.5000 0.2681  1 Hg 2.91, 2 Ce 3.05, 2 Pr 3.24
Hg 0.0000 0.5000 0.7319  1 Hg 2.91, 2 Ce 3.05, 2 Pr 3.24
Hg 0.5000 0.0000 0.2681  1 Hg 2.91, 2 Ce 3.05, 2 Pr 3.24
Hg 0.5000 0.0000 0.7319  1 Hg 2.91, 2 Ce 3.05, 2 Pr 3.24
Hg 0.5000 0.5000 0.0000  2 Ce 3.10

SG: Cmmm (65)
Calculated density (g/cm³): 9.1


2.
This record from Alexandria via LeMat-Bulk describes a relaxed structure of Ba3Zn4Pt2. The functional is PBE.

Cell: 6.3961 6.3961 9.7969 Å, 109.98 109.98 40.55°
Closest atoms and distances in Å follow each position.
Sites, in units of the cell vectors:
Ba 0.0000 0.0000 0.0000  6 Zn 3.39-3.54, 4 Pt 3.64
Ba 0.3890 0.3890 0.3125  6 Zn 3.35-3.55, 3 Pt 3.37-3.47, 1 Ba 3.67
Ba 0.6110 0.6110 0.6875  6 Zn 3.35-3.55, 3 Pt 3.37-3.47, 1 Ba 3.67
Zn 0.1604 0.1604 0.4317  3 Pt 2.62-2.69
Zn 0.2725 0.2725 0.9372  1 Pt 2.59, 2 Zn 2.68
Zn 0.7275 0.7275 0.0628  1 Pt 2.59, 2 Zn 2.68
Zn 0.8396 0.8396 0.5683  3 Pt 2.62-2.69
Pt 0.3274 0.3274 0.7044  4 Zn 2.59-2.69
Pt 0.6726 0.6726 0.2956  4 Zn 2.59-2.69

Distance to the lowest polymorph of the same formula (meV/atom): 22.1
SG: C2/m (12)
Calculated density (g/cm³): 7.3


Formation energy from the elements values, unit eV per atom, following the record order: -0.05 -0.47.